An optimized crystal structure of CaScSb. Source: Alexandria via LeMat-Bulk, functional PBE.

Cell lengths 3.875, 3.875, 11.362 Å; angles 90.00, 90.00, 90.00 degrees
Space group I4mm (No. 107)
One atom of each set of equivalent atoms:
Ca 0.000 0.000 0.000 (multiplicity 2)
Sc 0.000 0.000 0.287 (multiplicity 2)
Sb 0.000 0.000 0.683 (multiplicity 2)

- Volume: 28.43 Å³/atom
- Crystal system: tetragonal
- DOS(E_F): 1.1738 states/eV/atom
- Uncorrected energy: -4.6472 eV per atom

An optimized crystal structure of CaSc2Sb. Source: Alexandria via LeMat-Bulk, functional PBE.

Cell lengths 8.682, 8.682, 6.343 Å; angles 90.00, 90.00, 90.00 degrees
Space group I-42d (No. 122)
One atom of each set of equivalent atoms:
Ca 0.000 0.000 0.000 (multiplicity 4)
Sc 0.198 0.250 0.625 (multiplicity 8)
Sb 0.000 0.000 0.500 (multiplicity 4)

- Volume: 29.88 Å³/atom
- Crystal system: tetragonal
- DOS(E_F): 1.7311 states/eV/atom
- Uncorrected energy: -4.7960 eV per atom

An optimized crystal structure of CaSc2Sb. Source: Alexandria via LeMat-Bulk, functional PBE.

Cell lengths 3.8998, 3.8998, 28.4036 Å; angles 90.00, 90.00, 120.00 degrees
Space group R-3m (No. 166, hexagonal axes)
One atom of each set of equivalent atoms:
Ca 0.0000 0.0000 0.0000 (multiplicity 3)
Sc 0.0000 0.0000 0.2285 (multiplicity 6)
Sb 0.0000 0.0000 0.5000 (multiplicity 3)

- Volume: 31.17 Å³/atom
- Crystal system: trigonal
- DOS(E_F): 1.3565 states/eV/atom
- Uncorrected energy: -4.9073 eV per atom

An optimized crystal structure of CaSc2Sb. Source: Alexandria via LeMat-Bulk, functional PBE.

Cell lengths 4.162, 4.705, 10.437 Å; angles 90.00, 90.00, 90.00 degrees
Space group Imm2 (No. 44)
One atom of each set of equivalent atoms:
Ca 0.000 0.000 0.000 (multiplicity 2)
Sc 0.000 0.000 0.463 (multiplicity 2)
Sc 0.000 0.500 0.233 (multiplicity 2)
Sb 0.000 0.500 0.744 (multiplicity 2)

- Volume: 25.55 Å³/atom
- Crystal system: orthorhombic
- DOS(E_F): 0.9467 states/eV/atom
- Uncorrected energy: -5.0653 eV per atom

An optimized crystal structure of CaSc2Sb. Source: Alexandria via LeMat-Bulk, functional PBE.

Cell lengths 3.4937, 3.4937, 31.1020 Å; angles 90.00, 90.00, 120.00 degrees
Space group R3m (No. 160, hexagonal axes)
One atom of each set of equivalent atoms:
Ca 0.0000 0.0000 0.0000 (multiplicity 3)
Sc 0.0000 0.0000 0.5098 (multiplicity 3)
Sc 0.0000 0.0000 0.7626 (multiplicity 3)
Sb 0.0000 0.0000 0.2509 (multiplicity 3)

- Volume: 27.40 Å³/atom
- Crystal system: trigonal
- DOS(E_F): 1.4604 states/eV/atom
- Uncorrected energy: -4.8724 eV per atom

An optimized crystal structure of CaSc3Sb2. Source: Alexandria via LeMat-Bulk, functional PBE.

Cell lengths 17.358, 4.406, 8.822 Å; angles 90.00, 112.73, 90.00 degrees
Space group C2/m (No. 12)
One atom of each set of equivalent atoms:
Ca 0.110 0.000 0.129 (multiplicity 4)
Sc 0.066 0.000 0.681 (multiplicity 4)
Sc 0.146 0.500 0.491 (multiplicity 4)
Sc 0.192 0.500 0.893 (multiplicity 4)
Sb 0.011 0.500 0.822 (multiplicity 4)
Sb 0.244 0.000 0.716 (multiplicity 4)

- Volume: 25.93 Å³/atom
- Crystal system: monoclinic
- DOS(E_F): 1.1166 states/eV/atom
- Uncorrected energy: -5.4990 eV per atom

An optimized crystal structure of Ca2ScSb2. Source: Alexandria via LeMat-Bulk, functional PBE.

Cell lengths 8.051, 8.051, 4.441 Å; angles 90.00, 90.00, 90.00 degrees
Space group P4/mbm (No. 127)
One atom of each set of equivalent atoms:
Ca 0.148 0.352 0.000 (multiplicity 4)
Sc 0.000 0.000 0.500 (multiplicity 2)
Sb 0.161 0.661 0.500 (multiplicity 4)

- Volume: 28.79 Å³/atom
- Crystal system: tetragonal
- DOS(E_F): 0.1698 states/eV/atom
- Uncorrected energy: -4.5436 eV per atom

An optimized crystal structure of Ca3ScSb. Source: Alexandria via LeMat-Bulk, functional PBE.

Cell lengths 5.781, 5.781, 5.781 Å; angles 90.00, 90.00, 90.00 degrees
Space group Pm-3m (No. 221)
One atom of each set of equivalent atoms:
Ca 0.000 0.000 0.500 (multiplicity 3)
Sc 0.000 0.000 0.000 (multiplicity 1)
Sb 0.500 0.500 0.500 (multiplicity 1)

- Volume: 38.63 Å³/atom
- Crystal system: cubic
- DOS(E_F): 0.8414 states/eV/atom
- Relative energy among the computed polymorphs: 0.592 eV/atom

> What is the formula in the seventh record?

Ca2ScSb2

> Which of these has the lowest volume?

number 4